First-principles (PBE-GGA) data for a relaxed Ce5Sb2CSe crystal, as listed in Alexandria.

a b c (Å): 4.704 4.704 11.284
angles (deg): 90.00 90.00 90.00
Space group P4/mmm (No. 123)
Asymmetric unit:
Ce  0.000  0.000  0.000 x1
Ce  0.000  0.500  0.500 x2
Ce  0.500  0.500  0.261 x2
Sb  0.000  0.000  0.288 x2
C  0.500  0.500  0.500 x1
Se  0.500  0.500  0.000 x1

Summary:
- calculated total energy (eV for the cell shown) = -58.45